Record 1
# Ti2TlSbSe (PBE-GGA, relaxed)
# total magnetization: 4.37 μB/cell
# uncorrected formation energy: 66 kJ/mol of atoms
# energy: -4.470 eV/atom
data_Ti2TlSbSe
_symmetry_space_group_name_H-M 'P 1'
_symmetry_Int_Tables_number 1
_cell_length_a 5.240
_cell_length_b 5.240
_cell_length_c 5.773
_cell_angle_alpha 90.00
_cell_angle_beta 90.00
_cell_angle_gamma 90.00
loop_
_symmetry_equiv_pos_as_xyz
'x,y,z'
loop_
_atom_site_label
_atom_site_type_symbol
_atom_site_fract_x
_atom_site_fract_y
_atom_site_fract_z
Ti1 Ti 0.000 0.500 0.000
Ti2 Ti 0.500 0.000 0.000
Tl1 Tl 0.000 0.000 0.500
Sb1 Sb 0.000 0.000 0.000
Se1 Se 0.500 0.500 0.500


Record 2
# Na4Zr3NpTe8 (PBE-GGA, relaxed)
# total magnetization: 4.96 μB/cell
# uncorrected formation energy: -85 kJ/mol of atoms
# energy: -5.189 eV/atom
data_Na4Zr3NpTe8
_symmetry_space_group_name_H-M 'P 1'
_symmetry_Int_Tables_number 1
_cell_length_a 9.167
_cell_length_b 9.167
_cell_length_c 9.167
_cell_angle_alpha 54.19
_cell_angle_beta 54.19
_cell_angle_gamma 54.19
loop_
_symmetry_equiv_pos_as_xyz
'x,y,z'
loop_
_atom_site_label
_atom_site_type_symbol
_atom_site_fract_x
_atom_site_fract_y
_atom_site_fract_z
Na1 Na 0.000 0.000 0.000
Na2 Na 0.000 0.500 0.500
Na3 Na 0.500 0.000 0.500
Na4 Na 0.500 0.500 0.000
Zr1 Zr 0.000 0.000 0.500
Zr2 Zr 0.000 0.500 0.000
Zr3 Zr 0.500 0.000 0.000
Np1 Np 0.500 0.500 0.500
Te1 Te 0.231 0.749 0.749
Te2 Te 0.241 0.241 0.241
Te3 Te 0.251 0.251 0.769
Te4 Te 0.251 0.769 0.251
Te5 Te 0.749 0.231 0.749
Te6 Te 0.749 0.749 0.231
Te7 Te 0.759 0.759 0.759
Te8 Te 0.769 0.251 0.251


Record 3
# La2CrAs (PBE-GGA, relaxed)
# total magnetization: 0.00 μB/cell
# energy: -5.870 eV/atom
data_La2CrAs
_symmetry_space_group_name_H-M 'P 1'
_symmetry_Int_Tables_number 1
_cell_length_a 7.980
_cell_length_b 7.980
_cell_length_c 5.891
_cell_angle_alpha 90.00
_cell_angle_beta 90.00
_cell_angle_gamma 90.00
loop_
_symmetry_equiv_pos_as_xyz
'x,y,z'
loop_
_atom_site_label
_atom_site_type_symbol
_atom_site_fract_x
_atom_site_fract_y
_atom_site_fract_z
La1 La 0.190 0.250 0.125
La2 La 0.250 0.690 0.375
La3 La 0.250 0.810 0.875
La4 La 0.310 0.250 0.625
La5 La 0.690 0.750 0.625
La6 La 0.750 0.190 0.875
La7 La 0.750 0.310 0.375
La8 La 0.810 0.750 0.125
Cr1 Cr 0.000 0.000 0.000
Cr2 Cr 0.000 0.500 0.250
Cr3 Cr 0.500 0.000 0.750
Cr4 Cr 0.500 0.500 0.500
As1 As 0.000 0.000 0.500
As2 As 0.000 0.500 0.750
As3 As 0.500 0.000 0.250
As4 As 0.500 0.500 0.000


Record 4
# ZnCu3Cl (PBE-GGA, relaxed)
# total magnetization: 0.00 μB/cell
# uncorrected formation energy: 71 kJ/mol of atoms
# ΔE to the lowest computed polymorph: 0.060 eV per atom
# energy: -2.344 eV/atom
data_ZnCu3Cl
_symmetry_space_group_name_H-M 'P 1'
_symmetry_Int_Tables_number 1
_cell_length_a 4.511
_cell_length_b 4.511
_cell_length_c 4.511
_cell_angle_alpha 90.00
_cell_angle_beta 90.00
_cell_angle_gamma 90.00
loop_
_symmetry_equiv_pos_as_xyz
'x,y,z'
loop_
_atom_site_label
_atom_site_type_symbol
_atom_site_fract_x
_atom_site_fract_y
_atom_site_fract_z
Zn1 Zn 0.000 0.000 0.000
Cu1 Cu 0.000 0.500 0.500
Cu2 Cu 0.500 0.000 0.500
Cu3 Cu 0.500 0.500 0.000
Cl1 Cl 0.500 0.500 0.500


Record 5
# BeTl3H (PBE-GGA, relaxed)
# total magnetization: 0.00 μB/cell
# ΔE to the lowest computed polymorph: 0.000 eV per atom
# energy: -2.235 eV/atom
data_BeTl3H
_symmetry_space_group_name_H-M 'P 1'
_symmetry_Int_Tables_number 1
_cell_length_a 5.013
_cell_length_b 5.013
_cell_length_c 5.013
_cell_angle_alpha 90.00
_cell_angle_beta 90.00
_cell_angle_gamma 90.00
loop_
_symmetry_equiv_pos_as_xyz
'x,y,z'
loop_
_atom_site_label
_atom_site_type_symbol
_atom_site_fract_x
_atom_site_fract_y
_atom_site_fract_z
Be1 Be 0.000 0.000 0.000
Tl1 Tl 0.000 0.000 0.500
Tl2 Tl 0.000 0.500 0.000
Tl3 Tl 0.500 0.000 0.000
H1 H 0.500 0.500 0.500


Record 6
# PuSb2S6 (PBE-GGA, relaxed)
# total magnetization: 5.94 μB/cell
# uncorrected formation energy: -41 kJ/mol of atoms
# energy: -5.688 eV/atom
data_PuSb2S6
_symmetry_space_group_name_H-M 'P 1'
_symmetry_Int_Tables_number 1
_cell_length_a 6.206
_cell_length_b 6.206
_cell_length_c 12.091
_cell_angle_alpha 90.00
_cell_angle_beta 90.00
_cell_angle_gamma 90.00
loop_
_symmetry_equiv_pos_as_xyz
'x,y,z'
loop_
_atom_site_label
_atom_site_type_symbol
_atom_site_fract_x
_atom_site_fract_y
_atom_site_fract_z
Pu1 Pu 0.000 0.000 0.000
Pu2 Pu 0.500 0.500 0.500
Sb1 Sb 0.000 0.000 0.335
Sb2 Sb 0.000 0.000 0.665
Sb3 Sb 0.500 0.500 0.165
Sb4 Sb 0.500 0.500 0.835
S1 S 0.194 0.194 0.165
S2 S 0.194 0.194 0.835
S3 S 0.197 0.197 0.500
S4 S 0.303 0.697 0.000
S5 S 0.306 0.694 0.335
S6 S 0.306 0.694 0.665
S7 S 0.694 0.306 0.335
S8 S 0.694 0.306 0.665
S9 S 0.697 0.303 0.000
S10 S 0.803 0.803 0.500
S11 S 0.806 0.806 0.165
S12 S 0.806 0.806 0.835


Record 7
# SiB2C (PBE-GGA, relaxed)
# total magnetization: 0.00 μB/cell
# uncorrected formation energy: 213 kJ/mol of atoms
# ΔE to the lowest computed polymorph: 1.948 eV per atom
# energy: -4.790 eV/atom
data_SiB2C
_symmetry_space_group_name_H-M 'P 1'
_symmetry_Int_Tables_number 1
_cell_length_a 5.155
_cell_length_b 5.155
_cell_length_c 5.155
_cell_angle_alpha 90.00
_cell_angle_beta 90.00
_cell_angle_gamma 90.00
loop_
_symmetry_equiv_pos_as_xyz
'x,y,z'
loop_
_atom_site_label
_atom_site_type_symbol
_atom_site_fract_x
_atom_site_fract_y
_atom_site_fract_z
Si1 Si 0.000 0.000 0.000
Si2 Si 0.000 0.500 0.500
Si3 Si 0.500 0.000 0.500
Si4 Si 0.500 0.500 0.000
B1 B 0.250 0.250 0.250
B2 B 0.250 0.250 0.750
B3 B 0.250 0.750 0.250
B4 B 0.250 0.750 0.750
B5 B 0.750 0.250 0.250
B6 B 0.750 0.250 0.750
B7 B 0.750 0.750 0.250
B8 B 0.750 0.750 0.750
C1 C 0.000 0.000 0.500
C2 C 0.000 0.500 0.000
C3 C 0.500 0.000 0.000
C4 C 0.500 0.500 0.500


Record 8
# Nd2CuSn4Au3 (PBE-GGA, relaxed)
# total magnetization: 0.00 μB/cell
# energy: -4.451 eV/atom
data_Nd2CuSn4Au3
_symmetry_space_group_name_H-M 'P 1'
_symmetry_Int_Tables_number 1
_cell_length_a 4.546
_cell_length_b 4.546
_cell_length_c 11.606
_cell_angle_alpha 90.00
_cell_angle_beta 90.00
_cell_angle_gamma 90.00
loop_
_symmetry_equiv_pos_as_xyz
'x,y,z'
loop_
_atom_site_label
_atom_site_type_symbol
_atom_site_fract_x
_atom_site_fract_y
_atom_site_fract_z
Nd1 Nd 0.000 0.500 0.225
Nd2 Nd 0.500 0.000 0.775
Cu1 Cu 0.500 0.500 0.000
Sn1 Sn 0.000 0.000 0.500
Sn2 Sn 0.000 0.500 0.874
Sn3 Sn 0.500 0.000 0.126
Sn4 Sn 0.500 0.500 0.500
Au1 Au 0.000 0.000 0.000
Au2 Au 0.000 0.500 0.646
Au3 Au 0.500 0.000 0.354


- Which of these has the highest energy?
  BeTl3H